The following is a DFT calculation (GGA-PBE) of a relaxed KYPt2 crystal.

a b c (Å): 3.649 3.649 8.600
angles (deg): 90.00 90.00 90.00
Positions (direct):
1 K 0.500 0.500 0.826
2 Y 0.000 0.000 0.374
3 Pt 0.500 0.500 0.232
4 Pt 0.000 0.000 0.068

Results
energy	-5.16	eV per atom
space group	P4mm, No. 99